Record 1
# GGA-PBE Y2HgSe, relaxed
data_Y2HgSe
_cell_length_a 7.835
_cell_length_b 7.835
_cell_length_c 6.614
_cell_angle_alpha 53.68
_cell_angle_beta 53.68
_cell_angle_gamma 90.00
_space_group_name_H-M_alt 'P 1'
_space_group_IT_number 1
loop_
_space_group_symop_operation_xyz
'x,y,z'
loop_
_atom_site_label
_atom_site_fract_x
_atom_site_fract_y
_atom_site_fract_z
Y1 0.606 0.125 0.250
Y2 0.144 0.625 0.250
Y3 0.375 0.394 0.750
Y4 0.875 0.856 0.750
Hg1 0.000 0.000 0.000
Hg2 0.750 0.250 0.500
Se1 0.500 0.500 0.000
Se2 0.250 0.750 0.500
# E_tot = -4.9643 eV/atom
# magnetization = 0.00 μB/f.u.
# formation energy without anion corrections = -0.79 eV/atom
# density of states at the Fermi level = 8.2 states/eV/cell
# SG = I-42d
# V = 27.7 A^3/atom

=====

Record 2
# GGA-PBE CeZrU2N4, relaxed
data_CeZrU2N4
_cell_length_a 3.417
_cell_length_b 5.982
_cell_length_c 5.889
_cell_angle_alpha 109.26
_cell_angle_beta 90.00
_cell_angle_gamma 90.00
_space_group_name_H-M_alt 'P 1'
_space_group_IT_number 1
loop_
_space_group_symop_operation_xyz
'x,y,z'
loop_
_atom_site_label
_atom_site_fract_x
_atom_site_fract_y
_atom_site_fract_z
Ce1 0.500 0.500 0.000
Zr1 0.000 0.000 0.000
U1 0.500 0.000 0.500
U2 0.000 0.500 0.500
N1 0.500 0.232 0.250
N2 0.500 0.768 0.750
N3 0.000 0.225 0.738
N4 0.000 0.775 0.262
# E_tot = -10.2648 eV/atom
# magnetization = 2.18 μB/f.u.
# formation energy without anion corrections = -1.47 eV/atom
# density of states at the Fermi level = 10.7 states/eV/cell
# SG = P2/m
# V = 14.2 A^3/atom

=====

Record 3
# GGA-PBE SrAl2In2Au6, relaxed
data_SrAl2In2Au6
_cell_length_a 6.653
_cell_length_b 11.237
_cell_length_c 13.675
_cell_angle_alpha 161.96
_cell_angle_beta 95.17
_cell_angle_gamma 72.80
_space_group_name_H-M_alt 'P 1'
_space_group_IT_number 1
loop_
_space_group_symop_operation_xyz
'x,y,z'
loop_
_atom_site_label
_atom_site_fract_x
_atom_site_fract_y
_atom_site_fract_z
Sr1 0.500 0.000 0.500
Al1 0.927 0.217 0.517
Al2 0.073 0.783 0.483
In1 0.344 0.852 0.935
In2 0.656 0.148 0.065
Au1 0.251 0.179 0.386
Au2 0.834 0.562 0.963
Au3 0.867 0.079 0.213
Au4 0.166 0.438 0.037
Au5 0.133 0.921 0.787
Au6 0.749 0.821 0.614
# E_tot = -3.5217 eV/atom
# formation enthalpy at 0 K = -4.43 eV/f.u.
# magnetization = 0.00 μB/f.u.
# density of states at the Fermi level = 3.0 states/eV/cell
# SG = P-1
# V = 21.0 A^3/atom

=====

Record 4
# GGA-PBE Ce6B2C3Br3, relaxed
data_Ce6B2C3Br3
_cell_length_a 3.673
_cell_length_b 8.625
_cell_length_c 10.197
_cell_angle_alpha 65.39
_cell_angle_beta 90.00
_cell_angle_gamma 90.00
_space_group_name_H-M_alt 'P 1'
_space_group_IT_number 1
loop_
_space_group_symop_operation_xyz
'x,y,z'
loop_
_atom_site_label
_atom_site_fract_x
_atom_site_fract_y
_atom_site_fract_z
Ce1 0.000 0.711 0.484
Ce2 0.500 0.060 0.156
Ce3 0.500 0.632 0.220
Ce4 0.000 0.289 0.516
Ce5 0.500 0.940 0.844
Ce6 0.500 0.368 0.780
B1 0.000 0.899 0.065
B2 0.000 0.101 0.935
C1 0.000 0.835 0.230
C2 0.000 0.165 0.770
C3 0.500 0.500 0.500
Br1 0.000 0.647 0.814
Br2 0.500 0.000 0.500
Br3 0.000 0.353 0.186
# E_tot = -6.6582 eV/atom
# magnetization = 4.22 μB/f.u.
# formation energy without anion corrections = -0.83 eV/atom
# density of states at the Fermi level = 24.9 states/eV/cell
# SG = P2/m
# V = 21.0 A^3/atom

=====

Record 5
# GGA-PBE PmGaGe2, relaxed
data_PmGaGe2
_cell_length_a 3.181
_cell_length_b 5.487
_cell_length_c 5.487
_cell_angle_alpha 118.18
_cell_angle_beta 90.00
_cell_angle_gamma 90.00
_space_group_name_H-M_alt 'P 1'
_space_group_IT_number 1
loop_
_space_group_symop_operation_xyz
'x,y,z'
loop_
_atom_site_label
_atom_site_fract_x
_atom_site_fract_y
_atom_site_fract_z
Pm1 0.000 0.054 0.946
Ga1 0.500 0.554 0.446
Ge1 0.500 0.054 0.446
Ge2 0.500 0.554 0.946
# E_tot = -4.5957 eV/atom
# formation enthalpy at 0 K = -1.37 eV/f.u.
# magnetization = 0.00 μB/f.u.
# density of states at the Fermi level = 2.5 states/eV/cell
# SG = Cmmm
# V = 21.1 A^3/atom

=====

Record 6
# GGA-PBE SrTe2Rh, relaxed
data_SrTe2Rh
_cell_length_a 4.785
_cell_length_b 4.667
_cell_length_c 5.793
_cell_angle_alpha 76.08
_cell_angle_beta 90.00
_cell_angle_gamma 90.00
_space_group_name_H-M_alt 'P 1'
_space_group_IT_number 1
loop_
_space_group_symop_operation_xyz
'x,y,z'
loop_
_atom_site_label
_atom_site_fract_x
_atom_site_fract_y
_atom_site_fract_z
Rh1 0.000 0.277 0.472
Sr1 0.500 0.714 0.764
Te1 0.000 0.148 0.933
Te2 0.500 0.361 0.331
# E_tot = -4.4713 eV/atom
# magnetization = 0.00 μB/f.u.
# formation energy without anion corrections = -0.64 eV/atom
# density of states at the Fermi level = 3.0 states/eV/cell
# SG = Pm
# V = 31.4 A^3/atom

=====

Record 7
# GGA-PBE K2YPb, relaxed
data_K2YPb
_cell_length_a 5.891
_cell_length_b 5.891
_cell_length_c 5.891
_cell_angle_alpha 119.95
_cell_angle_beta 119.95
_cell_angle_gamma 90.09
_space_group_name_H-M_alt 'P 1'
_space_group_IT_number 1
loop_
_space_group_symop_operation_xyz
'x,y,z'
loop_
_atom_site_label
_atom_site_fract_x
_atom_site_fract_y
_atom_site_fract_z
K1 0.000 0.000 0.000
K2 0.250 0.750 0.500
Pb1 0.500 0.500 0.000
Y1 0.750 0.250 0.500
# E_tot = -2.9449 eV/atom
# formation enthalpy at 0 K = 0.59 eV/f.u.
# magnetization = 0.01 μB/f.u.
# density of states at the Fermi level = 3.5 states/eV/cell
# SG = I-4m2
# V = 36.2 A^3/atom

=====

Record 8
# GGA-PBE Cs2SiPdBr6, relaxed
data_Cs2SiPdBr6
_cell_length_a 7.577
_cell_length_b 7.577
_cell_length_c 7.574
_cell_angle_alpha 59.99
_cell_angle_beta 59.99
_cell_angle_gamma 90.00
_space_group_name_H-M_alt 'P 1'
_space_group_IT_number 1
loop_
_space_group_symop_operation_xyz
'x,y,z'
loop_
_atom_site_label
_atom_site_fract_x
_atom_site_fract_y
_atom_site_fract_z
Cs1 0.750 0.250 0.500
Cs2 0.250 0.750 0.500
Si1 0.500 0.500 0.000
Br1 0.257 0.257 0.487
Br2 0.743 0.743 0.513
Br3 0.257 0.257 0.000
Br4 0.743 0.743 0.000
Br5 0.743 0.257 0.000
Br6 0.257 0.743 0.000
Pd1 0.000 0.000 0.000
# E_tot = -3.1741 eV/atom
# magnetization = 0.00 μB/f.u.
# formation energy without anion corrections = -0.94 eV/atom
# density of states at the Fermi level = 2.3 states/eV/cell
# SG = I4/mmm
# V = 30.7 A^3/atom

=====

Record 9
# GGA-PBE Y2ErIn4, relaxed
data_Y2ErIn4
_cell_length_a 5.252
_cell_length_b 5.252
_cell_length_c 8.141
_cell_angle_alpha 108.82
_cell_angle_beta 108.82
_cell_angle_gamma 90.00
_space_group_name_H-M_alt 'P 1'
_space_group_IT_number 1
loop_
_space_group_symop_operation_xyz
'x,y,z'
loop_
_atom_site_label
_atom_site_fract_x
_atom_site_fract_y
_atom_site_fract_z
Y1 0.750 0.750 0.499
Y2 0.250 0.250 0.501
Er1 0.000 0.000 0.000
In1 0.386 0.886 0.772
In2 0.886 0.386 0.772
In3 0.614 0.114 0.228
In4 0.114 0.614 0.228
# E_tot = -4.3940 eV/atom
# formation enthalpy at 0 K = -2.31 eV/f.u.
# magnetization = 0.14 μB/f.u.
# density of states at the Fermi level = 5.6 states/eV/cell
# SG = I4/mmm
# V = 28.5 A^3/atom

=====

Record 10
# GGA-PBE CaSnH6Pt2, relaxed
data_CaSnH6Pt2
_cell_length_a 6.418
_cell_length_b 6.418
_cell_length_c 6.461
_cell_angle_alpha 108.09
_cell_angle_beta 108.09
_cell_angle_gamma 88.09
_space_group_name_H-M_alt 'P 1'
_space_group_IT_number 1
loop_
_space_group_symop_operation_xyz
'x,y,z'
loop_
_atom_site_label
_atom_site_fract_x
_atom_site_fract_y
_atom_site_fract_z
Ca1 0.148 0.852 0.250
Ca2 0.852 0.148 0.750
Sn1 0.589 0.411 0.250
Sn2 0.411 0.589 0.750
H1 0.905 0.318 0.190
H2 0.682 0.095 0.310
H3 0.095 0.682 0.810
H4 0.318 0.905 0.690
H5 0.182 0.106 0.042
H6 0.894 0.818 0.458
H7 0.818 0.894 0.958
H8 0.106 0.182 0.542
H9 0.158 0.582 0.424
H10 0.418 0.842 0.076
H11 0.842 0.418 0.576
H12 0.582 0.158 0.924
Pt1 0.341 0.177 0.739
Pt2 0.823 0.659 0.761
Pt3 0.659 0.823 0.261
Pt4 0.177 0.341 0.239
# E_tot = -4.0441 eV/atom
# magnetization = 0.00 μB/f.u.
# density of states at the Fermi level = 3.3 states/eV/cell
# SG = C2/c
# V = 12.0 A^3/atom

=====

Record 11
# GGA-PBE TcGeMoN2, relaxed
data_TcGeMoN2
_cell_length_a 3.864
_cell_length_b 5.333
_cell_length_c 3.864
_cell_angle_alpha 90.00
_cell_angle_beta 90.00
_cell_angle_gamma 90.00
_space_group_name_H-M_alt 'P 1'
_space_group_IT_number 1
loop_
_space_group_symop_operation_xyz
'x,y,z'
loop_
_atom_site_label
_atom_site_fract_x
_atom_site_fract_y
_atom_site_fract_z
Mo1 0.000 0.000 0.000
Ge1 0.000 0.500 0.000
Tc1 0.500 0.500 0.500
N1 0.000 0.000 0.500
N2 0.500 0.000 0.000
# E_tot = -7.4762 eV/atom
# magnetization = 2.94 μB/f.u.
# formation energy without anion corrections = 1.02 eV/atom
# density of states at the Fermi level = 2.9 states/eV/cell
# SG = P4/mmm
# V = 15.9 A^3/atom

=====

Record 12
# GGA-PBE PrPuPb2, relaxed
data_PrPuPb2
_cell_length_a 3.548
_cell_length_b 3.548
_cell_length_c 9.325
_cell_angle_alpha 90.00
_cell_angle_beta 90.00
_cell_angle_gamma 90.00
_space_group_name_H-M_alt 'P 1'
_space_group_IT_number 1
loop_
_space_group_symop_operation_xyz
'x,y,z'
loop_
_atom_site_label
_atom_site_fract_x
_atom_site_fract_y
_atom_site_fract_z
Pb1 0.000 0.000 0.755
Pb2 0.000 0.000 0.245
Pr1 0.500 0.500 0.500
Pu1 0.500 0.500 0.000
# E_tot = -6.9706 eV/atom
# formation enthalpy at 0 K = -1.35 eV/f.u.
# magnetization = 6.02 μB/f.u.
# density of states at the Fermi level = 9.7 states/eV/cell
# SG = P4/mmm
# V = 29.3 A^3/atom